First-principles (GGA-PBE) data for a relaxed structure of Re2BRh, as listed in the Alexandria database.

Calculated values
Formation energy: 0.00 eV per atom
DFT total energy: -38.91 eV per cell
Total magnetization: 0.00 μB per cell

Structure (POSCAR):
```
Re2BRh
1.0
-2.717 0.946 -0.168
-1.924 -1.423 -1.605
-3.283 -4.149 5.027
B Rh Re
1 1 2
Cartesian
-3.099 -0.330 -1.166 B
-3.952 -2.291 1.596 Rh
-2.949 -3.382 3.947 Re
-1.885 -0.937 0.504 Re
```